Record 1
PBE CsRb2As, relaxed; formation energy = -205 meV/atom; symmetry = R3m (160); D(E_F) = 3.87 states/eV/cell
1.0
3.004 1.734 6.427
-3.004 1.734 6.427
0.000 -3.468 6.427
Cs Rb As
1 2 1
Cartesian
0.000 0.000 0.000
0.000 0.000 10.524
0.000 0.000 15.370
0.000 0.000 3.876



Record 2
PBE RbLiHfB2, relaxed; formation energy = 2326 meV/atom; symmetry = P4/mmm (123); D(E_F) = 3.22 states/eV/cell
1.0
4.670 0.000 0.000
0.000 4.670 0.000
0.000 0.000 4.123
Rb Li Hf B
1 1 1 2
Cartesian
0.000 0.000 0.000
0.000 0.000 2.061
2.335 2.335 2.061
0.000 2.335 0.000
2.335 0.000 0.000



Calculated values (Ha/atom) of E for the records, taken in order: -0.0759 -0.1070.